1.
YTeH3 after structural relaxation. Source: the Alexandria database, functional PBE-GGA.

POSCAR file:
```
YTeH3
1.0
4.148 0.000 0.000
0.000 4.148 0.000
0.000 0.000 4.148
Y Te H
1 1 3
direct
0.000 0.000 0.000 Y
0.500 0.500 0.500 Te
0.000 0.500 0.500 H
0.500 0.000 0.500 H
0.500 0.500 0.000 H
```

Symmetry: Pm-3m (221)
Distance to the lowest polymorph of the same formula, meV per atom: 585

***

2.
Y4Te5H2 after structural relaxation. Source: the Alexandria database, functional PBE-GGA.

POSCAR file:
```
Y4Te5H2
1.0
10.590 -2.105 0.000
10.590 2.105 0.000
-2.054 0.000 8.229
Y Te H
4 5 2
direct
0.042 0.042 0.270 Y
0.330 0.330 0.470 Y
0.670 0.670 0.530 Y
0.958 0.958 0.730 Y
0.094 0.094 0.661 Te
0.189 0.189 0.278 Te
0.500 0.500 0.000 Te
0.811 0.811 0.722 Te
0.906 0.906 0.339 Te
0.424 0.424 0.646 H
0.576 0.576 0.354 H
```

Symmetry: C2/m (12)

***

3.
YTe2H after structural relaxation. Source: the Alexandria database, functional PBE-GGA.

POSCAR file:
```
YTe2H
1.0
1.749 1.010 9.178
-1.749 1.010 9.178
0.000 -2.020 9.178
Y Te H
1 2 1
direct
0.000 0.000 0.000 Y
0.109 0.109 0.109 Te
0.891 0.891 0.891 Te
0.500 0.500 0.500 H
```

Symmetry: R-3m (166)
Distance to the lowest polymorph of the same formula, meV per atom: 1256

***

4.
Y5Te5H2 after structural relaxation. Source: the Alexandria database, functional PBE-GGA.

POSCAR file:
```
Y5Te5H2
1.0
6.920 -2.025 0.000
6.920 2.025 0.000
-1.817 0.000 10.611
Y Te H
5 5 2
direct
0.000 0.000 0.000 Y
0.104 0.104 0.337 Y
0.347 0.347 0.205 Y
0.653 0.653 0.795 Y
0.896 0.896 0.663 Y
0.220 0.220 0.614 Te
0.338 0.338 0.911 Te
0.500 0.500 0.500 Te
0.662 0.662 0.089 Te
0.780 0.780 0.386 Te
0.050 0.050 0.808 H
0.950 0.950 0.192 H
```

Symmetry: C2/m (12)

***

5.
YTe2H after structural relaxation. Source: the Alexandria database, functional PBE-GGA.

POSCAR file:
```
YTe2H
1.0
4.317 0.000 0.000
-1.442 7.745 0.000
-1.819 -3.564 6.959
Y Te H
2 4 2
direct
0.092 0.240 0.317 Y
0.908 0.760 0.683 Y
0.238 0.653 0.376 Te
0.391 0.902 0.105 Te
0.609 0.098 0.895 Te
0.762 0.347 0.624 Te
0.490 0.447 0.970 H
0.510 0.553 0.030 H
```

Symmetry: P-1 (2)
Distance to the lowest polymorph of the same formula, meV per atom: 47

***

6.
YTe2H after structural relaxation. Source: the Alexandria database, functional PBE-GGA.

POSCAR file:
```
YTe2H
1.0
2.906 -10.770 0.000
2.906 10.770 0.000
0.000 0.000 5.959
Y Te H
2 4 2
direct
0.077 0.923 0.750 Y
0.923 0.077 0.250 Y
0.062 0.938 0.250 Te
0.205 0.795 0.750 Te
0.795 0.205 0.250 Te
0.938 0.062 0.750 Te
0.282 0.718 0.750 H
0.718 0.282 0.250 H
```

Symmetry: Cmcm (63)
Distance to the lowest polymorph of the same formula, meV per atom: 613

***

7.
YTe2H after structural relaxation. Source: the Alexandria database, functional PBE-GGA.

POSCAR file:
```
YTe2H
1.0
-3.184 6.511 2.986
3.184 -6.511 2.986
3.184 6.511 -2.986
Y Te H
2 4 2
direct
0.137 0.250 0.387 Y
0.863 0.750 0.613 Y
0.106 0.746 0.861 Te
0.363 0.244 0.619 Te
0.625 0.744 0.381 Te
0.885 0.246 0.139 Te
0.596 0.965 0.131 H
0.834 0.465 0.869 H
```

Symmetry: Ima2 (46)
Distance to the lowest polymorph of the same formula, meV per atom: 92

***

8.
YTe2H after structural relaxation. Source: the Alexandria database, functional PBE-GGA.

POSCAR file:
```
YTe2H
1.0
2.255 1.302 7.232
-2.255 1.302 7.232
0.000 -2.604 7.232
Y Te H
1 2 1
direct
0.000 0.000 0.000 Y
0.410 0.410 0.410 Te
0.590 0.590 0.590 Te
0.500 0.500 0.500 H
```

Symmetry: R-3m (166)
Distance to the lowest polymorph of the same formula, meV per atom: 83

***

9.
YTeH after structural relaxation. Source: the Alexandria database, functional PBE-GGA.

POSCAR file:
```
YTeH
1.0
5.728 -1.948 0.000
5.728 1.948 0.000
-5.582 0.000 5.727
Y Te H
2 2 2
direct
0.000 0.000 0.227 Y
0.000 0.000 0.773 Y
0.276 0.276 0.776 Te
0.724 0.724 0.224 Te
0.500 0.500 0.325 H
0.500 0.500 0.675 H
```

Symmetry: C2/m (12)

***

10.
YTe2H after structural relaxation. Source: the Alexandria database, functional PBE-GGA.

POSCAR file:
```
YTe2H
1.0
6.876 -7.318 0.000
6.876 7.318 0.000
-3.862 0.000 8.924
Y Te H
8 16 8
direct
0.001 0.199 0.153 Y
0.153 0.416 0.695 Y
0.199 0.001 0.653 Y
0.416 0.153 0.195 Y
0.584 0.847 0.805 Y
0.801 0.999 0.347 Y
0.847 0.584 0.305 Y
0.999 0.801 0.847 Y
0.061 0.939 0.250 Te
0.073 0.507 0.148 Te
0.113 0.682 0.567 Te
0.297 0.340 0.444 Te
0.318 0.887 0.933 Te
0.340 0.297 0.944 Te
0.472 0.528 0.750 Te
0.493 0.927 0.352 Te
0.507 0.073 0.648 Te
0.528 0.472 0.250 Te
0.660 0.703 0.056 Te
0.682 0.113 0.067 Te
0.703 0.660 0.556 Te
0.887 0.318 0.433 Te
0.927 0.493 0.852 Te
0.939 0.061 0.750 Te
0.180 0.202 0.618 H
0.202 0.180 0.118 H
0.297 0.481 0.379 H
0.481 0.297 0.879 H
0.519 0.703 0.121 H
0.703 0.519 0.621 H
0.798 0.820 0.882 H
0.820 0.798 0.382 H
```

Symmetry: C2/c (15)
Distance to the lowest polymorph of the same formula, meV per atom: 193

***

11.
YTe2H after structural relaxation. Source: the Alexandria database, functional PBE-GGA.

POSCAR file:
```
YTe2H
1.0
4.146 0.000 0.000
0.000 4.146 0.000
0.000 0.000 6.323
Y Te H
1 2 1
direct
0.000 0.000 0.000 Y
0.000 0.000 0.500 Te
0.500 0.500 0.000 Te
0.500 0.500 0.500 H
```

Symmetry: P4/mmm (123)
Distance to the lowest polymorph of the same formula, meV per atom: 643

***

12.
Y6Te5H after structural relaxation. Source: the Alexandria database, functional PBE-GGA.

POSCAR file:
```
Y6Te5H
1.0
3.724 -6.454 0.000
3.724 6.454 0.000
-2.542 0.000 6.952
Y Te H
6 5 1
direct
0.073 0.396 0.735 Y
0.188 0.188 0.299 Y
0.396 0.073 0.735 Y
0.604 0.927 0.265 Y
0.812 0.812 0.701 Y
0.927 0.604 0.265 Y
0.171 0.829 0.000 Te
0.343 0.657 0.500 Te
0.500 0.500 0.000 Te
0.657 0.343 0.500 Te
0.829 0.171 0.000 Te
0.000 0.000 0.500 H
```

Symmetry: C2/m (12)

***

no.,E (eV/f.u.),M_tot (μB/f.u.)
1,-17.071,0.0
2,-61.228,0.0
3,-14.431,0.0
4,-67.106,0.0
5,-19.267,0.0
6,-17.004,0.0
7,-19.090,0.0
8,-19.126,0.0
9,-15.936,0.0
10,-18.684,0.0
11,-16.886,0.0
12,-70.724,0.0